# 1
Entry from Alexandria: a geometry-optimized CaRe2Sb structure (PBE).

a b c (Å): 8.008 8.008 6.287
angles (deg): 50.44 50.44 90.00
Element x y z (fractional)
Sb 0.000 0.000 0.000
Sb 0.750 0.250 0.500
Ca 0.500 0.500 0.000
Ca 0.250 0.750 0.500
Re 0.875 0.929 0.750
Re 0.679 0.125 0.250
Re 0.071 0.625 0.250
Re 0.375 0.321 0.750

Values from the calculation:
Symmetry = I-42d
Formation energy (no corrections) = 1.15 eV per atom
Uncorrected energy = -6.601 eV per atom
Magnetization = 0.000 μB/atom

# 2
Entry from Alexandria: a geometry-optimized CaRe2Sb structure (PBE).

a b c (Å): 3.033 3.033 9.143
angles (deg): 90.00 90.00 113.04
Element x y z (fractional)
Ca 0.500 0.500 0.750
Re 0.000 0.000 0.023
Re 0.000 0.000 0.477
Sb 0.500 0.500 0.250

Values from the calculation:
Symmetry = Cmmm
Formation energy (no corrections) = 0.96 eV per atom
Uncorrected energy = -6.794 eV per atom
Magnetization = 0.000 μB/atom